Entry 1:
TmBAs: optimized geometry, PBE-GGA.

Unit cell a=4.4621 b=4.4621 c=4.4621 alpha=60.00 beta=60.00 gamma=60.00
With the nearest neighbours (Å) after each atom.
Sites, in units of the cell vectors:
B: 0.7500 0.7500 0.7500  4 Tm 2.73
As: 0.2500 0.2500 0.2500  4 Tm 2.73
Tm: 0.0000 0.0000 0.0000  4 B 2.73, 4 As 2.73

Calculated values
* relative energy among the computed polymorphs: 314 meV per atom
* crystal system: cubic
* space-group type: F-43m
* total moment: 0.00 μB per formula unit

---

Entry 2:
YSiPt2: optimized geometry, PBE-GGA.

Unit cell a=7.3500 b=6.9864 c=5.5164 alpha=90.00 beta=90.00 gamma=90.00
With the nearest neighbours (Å) after each atom.
Sites, in units of the cell vectors:
Si: 0.1201 0.2500 0.3651  6 Pt 2.49-2.62
Pt: 0.8195 0.0512 0.4077  3 Si 2.49-2.62, 1 Pt 2.78
Y: 0.5270 0.7500 0.3661  3 Si 2.96-2.99, 8 Pt 3.01-3.16
Si: 0.6201 0.2500 0.1349  6 Pt 2.49-2.62
Y: 0.4730 0.2500 0.6339  3 Si 2.96-2.99, 8 Pt 3.01-3.16
Pt: 0.1805 0.9488 0.5923  3 Si 2.49-2.62, 1 Pt 2.78
Pt: 0.3195 0.4488 0.0923  3 Si 2.49-2.62, 1 Pt 2.78
Y: 0.9730 0.2500 0.8661  3 Si 2.96-2.99, 8 Pt 3.01-3.16
Si: 0.3799 0.7500 0.8651  6 Pt 2.49-2.62
Pt: 0.3195 0.0512 0.0923  3 Si 2.49-2.62, 1 Pt 2.78
Y: 0.0270 0.7500 0.1339  3 Si 2.96-2.99, 8 Pt 3.01-3.16
Pt: 0.6805 0.9488 0.9077  3 Si 2.49-2.62, 1 Pt 2.78
Pt: 0.8195 0.4488 0.4077  3 Si 2.49-2.62, 1 Pt 2.78
Pt: 0.6805 0.5512 0.9077  3 Si 2.49-2.62, 1 Pt 2.78
Pt: 0.1805 0.5512 0.5923  3 Si 2.49-2.62, 1 Pt 2.78
Si: 0.8799 0.7500 0.6349  6 Pt 2.49-2.62

Calculated values
* crystal system: orthorhombic
* space-group type: Pnma
* raw total energy: -7.168 eV per atom
* total moment: 0.00 μB per formula unit

---

Entry 3:
GaAgF4: optimized geometry, PBE-GGA.

Unit cell a=7.2510 b=5.7020 c=7.0337 alpha=90.00 beta=90.00 gamma=90.00
With the nearest neighbours (Å) after each atom.
Sites, in units of the cell vectors:
Ga: 0.9211 0.2500 0.2178  5 F 1.79-1.93
F: 0.8715 0.5161 0.3497  1 Ga 1.81
F: 0.3715 0.9839 0.1503  1 Ga 1.81
Ga: 0.0789 0.7500 0.7822  5 F 1.79-1.93
F: 0.1609 0.2500 0.3385  2 Ga 1.93
F: 0.6285 0.4839 0.8497  1 Ga 1.81
F: 0.3715 0.5161 0.1503  1 Ga 1.81
Ga: 0.4211 0.2500 0.2822  5 F 1.79-1.93
Ga: 0.5789 0.7500 0.7178  5 F 1.79-1.93
Ag: 0.6589 0.7500 0.1546  8 F 2.46-2.64
Ag: 0.1589 0.7500 0.3454  8 F 2.46-2.64
F: 0.1285 0.0161 0.6503  1 Ga 1.81
F: 0.8715 0.9839 0.3497  1 Ga 1.81
Ag: 0.3411 0.2500 0.8454  8 F 2.46-2.64
F: 0.6609 0.2500 0.1615  2 Ga 1.93
Ag: 0.8411 0.2500 0.6546  8 F 2.46-2.64
F: 0.4926 0.7500 0.4791  1 Ga 1.79
F: 0.1285 0.4839 0.6503  1 Ga 1.81
F: 0.3391 0.7500 0.8385  2 Ga 1.93
F: 0.5074 0.2500 0.5209  1 Ga 1.79
F: 0.6285 0.0161 0.8497  1 Ga 1.81
F: 0.8391 0.7500 0.6615  2 Ga 1.93
F: 0.0074 0.2500 0.9791  1 Ga 1.79
F: 0.9926 0.7500 0.0209  1 Ga 1.79

Calculated values
* crystal system: orthorhombic
* space-group type: Pnma
* raw total energy: -4.186 eV per atom

---

Entry 4:
CdSiB: optimized geometry, PBE-GGA.

Unit cell a=4.0436 b=4.0436 c=4.0436 alpha=60.00 beta=60.00 gamma=60.00
With the nearest neighbours (Å) after each atom.
Sites, in units of the cell vectors:
Cd: 0.2500 0.2500 0.2500  4 B 2.48
B: 0.0000 0.0000 0.0000  4 Si 2.48, 4 Cd 2.48
Si: 0.7500 0.7500 0.7500  4 B 2.48

Calculated values
* relative energy among the computed polymorphs: 0 meV per atom
* crystal system: cubic
* space-group type: F-43m

---

Entry 5:
Rb4As2PdAu: optimized geometry, PBE-GGA.

Unit cell a=6.6569 b=6.6569 c=6.0256 alpha=90.11 beta=90.11 gamma=105.20
With the nearest neighbours (Å) after each atom.
Sites, in units of the cell vectors:
Rb: 0.8226 0.4809 0.7511  4 As 3.57-3.73, 5 Rb 3.61-3.89, 2 Pd 3.66-3.99, 2 Au 3.68-3.99
Pd: 0.0000 0.0000 0.0000  2 As 2.50
Au: 0.0000 0.0000 0.5000  2 As 2.53
As: 0.2488 0.2488 0.7546  1 Pd 2.50, 1 Au 2.53
Rb: 0.1774 0.5191 0.2489  4 As 3.57-3.73, 5 Rb 3.61-3.89, 2 Pd 3.66-3.99, 2 Au 3.68-3.99
Rb: 0.5191 0.1774 0.2489  4 As 3.57-3.73, 5 Rb 3.61-3.89, 2 Pd 3.66-3.99, 2 Au 3.68-3.99
Rb: 0.4809 0.8226 0.7511  4 As 3.57-3.73, 5 Rb 3.61-3.89, 2 Pd 3.66-3.99, 2 Au 3.68-3.99
As: 0.7512 0.7512 0.2454  1 Pd 2.50, 1 Au 2.53

Calculated values
* crystal system: monoclinic
* space-group type: C2/m
* raw total energy: -3.103 eV per atom

---

Entry 6:
YTa2Si2: optimized geometry, PBE-GGA.

Unit cell a=4.0217 b=4.0217 c=6.4766 alpha=108.09 beta=108.09 gamma=90.00
With the nearest neighbours (Å) after each atom.
Sites, in units of the cell vectors:
Y: 0.0000 0.0000 0.0000  8 Si 3.08
Si: 0.6023 0.6023 0.2047  1 Si 2.38, 4 Ta 2.65
Si: 0.3977 0.3977 0.7953  1 Si 2.38, 4 Ta 2.65
Ta: 0.2500 0.7500 0.5000  4 Si 2.65, 4 Ta 2.84
Ta: 0.7500 0.2500 0.5000  4 Si 2.65, 4 Ta 2.84

Calculated values
* crystal system: tetragonal
* space-group type: I4/mmm
* raw total energy: -8.834 eV per atom
* total moment: 0.00 μB per formula unit

---

Entry 7:
ScBe2Au: optimized geometry, PBE-GGA.

Unit cell a=4.3407 b=4.3407 c=4.3407 alpha=60.00 beta=60.00 gamma=60.00
With the nearest neighbours (Å) after each atom.
Sites, in units of the cell vectors:
Au: 0.2500 0.2500 0.2500  4 Sc 2.66, 4 Be 2.66
Sc: 0.5000 0.5000 0.5000  4 Be 2.66, 4 Au 2.66
Be: 0.0000 0.0000 0.0000  4 Be 2.66, 4 Au 2.66
Be: 0.7500 0.7500 0.7500  4 Sc 2.66, 4 Be 2.66

Calculated values
* crystal system: cubic
* space-group type: F-43m
* raw total energy: -4.411 eV per atom
* total moment: 0.00 μB per formula unit

---

Entry 8:
HgTeAsO: optimized geometry, PBE-GGA.

Unit cell a=4.9631 b=4.9631 c=7.8737 alpha=90.00 beta=90.00 gamma=90.00
With the nearest neighbours (Å) after each atom.
Sites, in units of the cell vectors:
Te: 0.2500 0.7500 0.5000  4 As 2.73
As: 0.7500 0.7500 0.3558  4 Te 2.73, 1 Hg 2.90
Hg: 0.7500 0.7500 0.9876  4 O 2.48
As: 0.2500 0.2500 0.6442  4 Te 2.73, 1 Hg 2.90
O: 0.2500 0.7500 0.0000  4 Hg 2.48
O: 0.7500 0.2500 0.0000  4 Hg 2.48
Te: 0.7500 0.2500 0.5000  4 As 2.73
Hg: 0.2500 0.2500 0.0124  4 O 2.48

Calculated values
* relative energy among the computed polymorphs: 547 meV per atom
* crystal system: tetragonal
* space-group type: P4/nmm